1.
RbZr2Se4 | PBE-GGA | relaxed

Magnetization in μB per formula unit: 0.0
Density of states at the Fermi level in states/eV/atom: 0.4404
Uncorrected formation energy in meV/atom: -1399

Cell: 18.234 3.851 6.540 Å, 90.00 109.77 90.00°
Space group C2/m (No. 12)
One atom of each set of equivalent atoms:
1 Rb 0.000 0.000 0.000 x2
2 Zr 0.249 0.500 0.744 x4
3 Se 0.155 0.000 0.496 x4
4 Se 0.157 0.500 0.998 x4



2.
Zr4Ti2Tl5 | PBE-GGA | relaxed

Magnetization in μB per formula unit: 0.0
Density of states at the Fermi level in states/eV/atom: 0.9462
Formation enthalpy at 0 K in meV per atom: 41

Cell: 7.961 3.257 9.789 Å, 90.00 96.08 90.00°
Space group P2/m (No. 10)
One atom of each set of equivalent atoms:
1 Zr 0.173 0.000 0.364 x2
2 Zr 0.261 0.000 0.934 x2
3 Ti 0.062 0.500 0.124 x2
4 Tl 0.167 0.500 0.650 x2
5 Tl 0.436 0.500 0.184 x2
6 Tl 0.500 0.500 0.500 x1



3.
HoEr3Ag | PBE-GGA | relaxed

Magnetization in μB per formula unit: 0.0
Density of states at the Fermi level in states/eV/atom: 1.0362
Formation enthalpy at 0 K in meV per atom: -10

Cell: 10.993 7.361 7.657 Å, 90.00 110.94 90.00°
Space group C2/m (No. 12)
One atom of each set of equivalent atoms:
1 Ho 0.060 0.000 0.240 x4
2 Er 0.061 0.500 0.241 x4
3 Er 0.162 0.250 0.648 x8
4 Ag 0.249 0.500 0.000 x4



Q: Look up the density of states at the Fermi level of the third one.
A: 1.0362 states/eV/atom



Q: Among the records above, which one has the highest density of states at the Fermi level?
A: HoEr3Ag